# YTe2AsN

YTe2AsN after structural relaxation (PBE-GGA, Alexandria).

abc: 5.6074 5.6074 3.8077
angles: 90.00 90.00 90.00
With the nearest neighbours (Å) after each atom.
Element x y z (fractional)
Te (0.0000, 0.5000, 0.0000)  2 As 2.80
Te (0.5000, 0.0000, 0.0000)  2 As 2.80
N (0.0000, 0.0000, 0.5000)  2 As 1.90
As (0.0000, 0.0000, 0.0000)  2 N 1.90
Y (0.5000, 0.5000, 0.5000)  8 Te 3.39

The offset from the most stable computed form is 0.00 eV/f.u. Its formation energy (no corrections) is 0.160 eV per atom. The total energy comes out at -4.985 eV/atom.